[1]
Computed, not measured: a relaxed structure of K2SrReW at the PBE level of DFT.

Cell and atoms, written as CIF:
```
data_K2SrReW
_cell_length_a 6.3578
_cell_length_b 6.3578
_cell_length_c 4.7443
_cell_angle_alpha 90.00
_cell_angle_beta 90.00
_cell_angle_gamma 90.00
_symmetry_space_group_name_H-M 'P 4/m m m'
_symmetry_Int_Tables_number 123
_symmetry_space_group_name_Hall '-P 4 2'
loop_
_atom_site_label
_atom_site_type_symbol
_atom_site_fract_x
_atom_site_fract_y
_atom_site_fract_z
K1 K 0.0000 0.5000 0.0000
Sr1 Sr 0.0000 0.0000 0.5000
Re1 Re 0.5000 0.5000 0.0000
W1 W 0.5000 0.5000 0.5000
```

Summary:
* E: -4.34 eV/atom
* M_tot: 0.29 Bohr magnetons per cell

---

[2]
Computed, not measured: a relaxed structure of Pm4Dy7Tm at the PBE level of DFT.

Cell and atoms, written as CIF:
```
data_Pm4Dy7Tm
_cell_length_a 6.5336
_cell_length_b 6.8233
_cell_length_c 9.0853
_cell_angle_alpha 85.56
_cell_angle_beta 77.33
_cell_angle_gamma 82.20
_symmetry_space_group_name_H-M 'P -1'
_symmetry_Int_Tables_number 2
loop_
_symmetry_equiv_pos_as_xyz
'x,y,z'
'-x,-y,-z'
loop_
_atom_site_label
_atom_site_type_symbol
_atom_site_fract_x
_atom_site_fract_y
_atom_site_fract_z
Pm1 Pm 0.1386 0.3102 0.2826
Pm2 Pm 0.3412 0.8827 0.6933
Dy1 Dy 0.0108 0.2534 0.9495
Dy2 Dy 0.1824 0.8020 0.3596
Dy3 Dy 0.3116 0.3932 0.6164
Dy4 Dy 0.5000 0.0000 0.0000
Tm1 Tm 0.5000 0.5000 0.0000
```

Summary:
* ΔE to the lowest computed polymorph: 0 meV/atom
* M_tot: 0.00 Bohr magnetons per cell